(1)
# PBE Rb3Ho2BiSe6, relaxed
# Energy relative to the elements, uncorrected   -1420.3 meV/atom
# Spin magnetization   0.00 μB per formula unit
data_Rb3Ho2BiSe6
_symmetry_space_group_name_H-M 'P 1'
_symmetry_Int_Tables_number 1
_cell_length_a 7.404
_cell_length_b 7.404
_cell_length_c 8.360
_cell_angle_alpha 98.49
_cell_angle_beta 98.49
_cell_angle_gamma 120.00
loop_
_symmetry_equiv_pos_as_xyz
'x,y,z'
loop_
_atom_site_label
_atom_site_type_symbol
_atom_site_fract_x
_atom_site_fract_y
_atom_site_fract_z
Rb1 Rb 0.000 0.000 0.000
Rb2 Rb 0.336 0.664 0.000
Rb3 Rb 0.664 0.336 0.000
Ho1 Ho 0.167 0.833 0.500
Ho2 Ho 0.833 0.167 0.500
Bi1 Bi 0.500 0.500 0.500
Se1 Se 0.092 0.434 0.303
Se2 Se 0.223 0.223 0.696
Se3 Se 0.434 0.092 0.303
Se4 Se 0.566 0.908 0.697
Se5 Se 0.777 0.777 0.304
Se6 Se 0.908 0.566 0.697

***

(2)
# PBE LaCeAu2, relaxed
# Relative energy among the computed polymorphs   44 meV per atom
# Energy relative to the elements   -0.67 eV per atom
# Spin magnetization   1.09 μB per formula unit
data_LaCeAu2
_symmetry_space_group_name_H-M 'P 1'
_symmetry_Int_Tables_number 1
_cell_length_a 5.291
_cell_length_b 5.291
_cell_length_c 5.291
_cell_angle_alpha 60.00
_cell_angle_beta 60.00
_cell_angle_gamma 60.00
loop_
_symmetry_equiv_pos_as_xyz
'x,y,z'
loop_
_atom_site_label
_atom_site_type_symbol
_atom_site_fract_x
_atom_site_fract_y
_atom_site_fract_z
La1 La 0.000 0.000 0.000
Ce1 Ce 0.500 0.500 0.500
Au1 Au 0.250 0.250 0.250
Au2 Au 0.750 0.750 0.750

***

(3)
# PBE MgSeI, relaxed
# Energy relative to the elements, uncorrected   -834.1 meV/atom
# Relative energy among the computed polymorphs   23 meV per atom
# Spin magnetization   0.00 μB per formula unit
data_MgSeI
_symmetry_space_group_name_H-M 'P 1'
_symmetry_Int_Tables_number 1
_cell_length_a 4.184
_cell_length_b 5.795
_cell_length_c 8.019
_cell_angle_alpha 99.95
_cell_angle_beta 104.93
_cell_angle_gamma 98.00
loop_
_symmetry_equiv_pos_as_xyz
'x,y,z'
loop_
_atom_site_label
_atom_site_type_symbol
_atom_site_fract_x
_atom_site_fract_y
_atom_site_fract_z
Mg1 Mg 0.000 0.000 0.000
Mg2 Mg 0.413 0.641 0.364
Se1 Se 0.623 0.033 0.229
Se2 Se 0.897 0.407 0.443
I1 I 0.118 0.504 0.986
I2 I 0.420 0.941 0.700

***

(4)
# PBE HfTi2Ge2, relaxed
# Relative energy among the computed polymorphs   21 meV per atom
# Energy relative to the elements   -0.62 eV per atom
# Spin magnetization   0.00 μB per formula unit
data_HfTi2Ge2
_symmetry_space_group_name_H-M 'P 1'
_symmetry_Int_Tables_number 1
_cell_length_a 12.437
_cell_length_b 12.437
_cell_length_c 3.774
_cell_angle_alpha 90.00
_cell_angle_beta 90.00
_cell_angle_gamma 162.81
loop_
_symmetry_equiv_pos_as_xyz
'x,y,z'
loop_
_atom_site_label
_atom_site_type_symbol
_atom_site_fract_x
_atom_site_fract_y
_atom_site_fract_z
Hf1 Hf 0.143 0.857 0.750
Hf2 Hf 0.857 0.143 0.250
Ti1 Ti 0.251 0.749 0.250
Ti2 Ti 0.442 0.558 0.750
Ti3 Ti 0.558 0.442 0.250
Ti4 Ti 0.749 0.251 0.750
Ge1 Ge 0.035 0.965 0.750
Ge2 Ge 0.330 0.670 0.750
Ge3 Ge 0.670 0.330 0.250
Ge4 Ge 0.965 0.035 0.250

***

(5)
# PBE AlCr3I, relaxed
# Energy relative to the elements, uncorrected   1104.6 meV/atom
# Relative energy among the computed polymorphs   0 meV per atom
# Spin magnetization   12.08 μB per formula unit
data_AlCr3I
_symmetry_space_group_name_H-M 'P 1'
_symmetry_Int_Tables_number 1
_cell_length_a 4.944
_cell_length_b 4.944
_cell_length_c 4.944
_cell_angle_alpha 90.00
_cell_angle_beta 90.00
_cell_angle_gamma 90.00
loop_
_symmetry_equiv_pos_as_xyz
'x,y,z'
loop_
_atom_site_label
_atom_site_type_symbol
_atom_site_fract_x
_atom_site_fract_y
_atom_site_fract_z
Al1 Al 0.000 0.000 0.000
Cr1 Cr 0.000 0.000 0.500
Cr2 Cr 0.000 0.500 0.000
Cr3 Cr 0.500 0.000 0.000
I1 I 0.500 0.500 0.500

***

(6)
# PBE CoIr2Cl, relaxed
# Energy relative to the elements, uncorrected   769.8 meV/atom
# Relative energy among the computed polymorphs   356 meV per atom
# Spin magnetization   2.78 μB per formula unit
data_CoIr2Cl
_symmetry_space_group_name_H-M 'P 1'
_symmetry_Int_Tables_number 1
_cell_length_a 2.747
_cell_length_b 4.487
_cell_length_c 4.768
_cell_angle_alpha 90.00
_cell_angle_beta 90.00
_cell_angle_gamma 90.00
loop_
_symmetry_equiv_pos_as_xyz
'x,y,z'
loop_
_atom_site_label
_atom_site_type_symbol
_atom_site_fract_x
_atom_site_fract_y
_atom_site_fract_z
Co1 Co 0.000 0.000 0.000
Ir1 Ir 0.000 0.500 0.500
Ir2 Ir 0.500 0.500 0.000
Cl1 Cl 0.500 0.000 0.500

***

(7)
# PBE SmY2TlO, relaxed
# Energy relative to the elements, uncorrected   -1358.8 meV/atom
# Spin magnetization   0.00 μB per formula unit
data_SmY2TlO
_symmetry_space_group_name_H-M 'P 1'
_symmetry_Int_Tables_number 1
_cell_length_a 4.803
_cell_length_b 4.803
_cell_length_c 4.920
_cell_angle_alpha 90.00
_cell_angle_beta 90.00
_cell_angle_gamma 90.00
loop_
_symmetry_equiv_pos_as_xyz
'x,y,z'
loop_
_atom_site_label
_atom_site_type_symbol
_atom_site_fract_x
_atom_site_fract_y
_atom_site_fract_z
Sm1 Sm 0.000 0.000 0.000
Y1 Y 0.000 0.500 0.500
Y2 Y 0.500 0.000 0.500
Tl1 Tl 0.500 0.500 0.000
O1 O 0.000 0.000 0.500

***

(8)
# PBE SrLa2YS4, relaxed
# Energy relative to the elements, uncorrected   -2076.9 meV/atom
# Spin magnetization   0.00 μB per formula unit
data_SrLa2YS4
_symmetry_space_group_name_H-M 'P 1'
_symmetry_Int_Tables_number 1
_cell_length_a 7.133
_cell_length_b 4.093
_cell_length_c 7.158
_cell_angle_alpha 90.00
_cell_angle_beta 109.06
_cell_angle_gamma 90.00
loop_
_symmetry_equiv_pos_as_xyz
'x,y,z'
loop_
_atom_site_label
_atom_site_type_symbol
_atom_site_fract_x
_atom_site_fract_y
_atom_site_fract_z
Sr1 Sr 0.000 0.000 0.000
La1 La 0.000 0.500 0.500
La2 La 0.500 0.000 0.500
Y1 Y 0.500 0.500 0.000
S1 S 0.258 0.500 0.244
S2 S 0.263 0.000 0.763
S3 S 0.737 0.000 0.237
S4 S 0.742 0.500 0.756

***

Among the records above, which one has the highest spin magnetization?
AlCr3I

***

What did the fifth record say?
# PBE AlCr3I, relaxed
# Energy relative to the elements, uncorrected   1104.6 meV/atom
# Relative energy among the computed polymorphs   0 meV per atom
# Spin magnetization   12.08 μB per formula unit
data_AlCr3I
_symmetry_space_group_name_H-M 'P 1'
_symmetry_Int_Tables_number 1
_cell_length_a 4.944
_cell_length_b 4.944
_cell_length_c 4.944
_cell_angle_alpha 90.00
_cell_angle_beta 90.00
_cell_angle_gamma 90.00
loop_
_symmetry_equiv_pos_as_xyz
'x,y,z'
loop_
_atom_site_label
_atom_site_type_symbol
_atom_site_fract_x
_atom_site_fract_y
_atom_site_fract_z
Al1 Al 0.000 0.000 0.000
Cr1 Cr 0.000 0.000 0.500
Cr2 Cr 0.000 0.500 0.000
Cr3 Cr 0.500 0.000 0.000
I1 I 0.500 0.500 0.500

***

Copy entry 8 word for word.
# PBE SrLa2YS4, relaxed
# Energy relative to the elements, uncorrected   -2076.9 meV/atom
# Spin magnetization   0.00 μB per formula unit
data_SrLa2YS4
_symmetry_space_group_name_H-M 'P 1'
_symmetry_Int_Tables_number 1
_cell_length_a 7.133
_cell_length_b 4.093
_cell_length_c 7.158
_cell_angle_alpha 90.00
_cell_angle_beta 109.06
_cell_angle_gamma 90.00
loop_
_symmetry_equiv_pos_as_xyz
'x,y,z'
loop_
_atom_site_label
_atom_site_type_symbol
_atom_site_fract_x
_atom_site_fract_y
_atom_site_fract_z
Sr1 Sr 0.000 0.000 0.000
La1 La 0.000 0.500 0.500
La2 La 0.500 0.000 0.500
Y1 Y 0.500 0.500 0.000
S1 S 0.258 0.500 0.244
S2 S 0.263 0.000 0.763
S3 S 0.737 0.000 0.237
S4 S 0.742 0.500 0.756

***

What did the third record say?
# PBE MgSeI, relaxed
# Energy relative to the elements, uncorrected   -834.1 meV/atom
# Relative energy among the computed polymorphs   23 meV per atom
# Spin magnetization   0.00 μB per formula unit
data_MgSeI
_symmetry_space_group_name_H-M 'P 1'
_symmetry_Int_Tables_number 1
_cell_length_a 4.184
_cell_length_b 5.795
_cell_length_c 8.019
_cell_angle_alpha 99.95
_cell_angle_beta 104.93
_cell_angle_gamma 98.00
loop_
_symmetry_equiv_pos_as_xyz
'x,y,z'
loop_
_atom_site_label
_atom_site_type_symbol
_atom_site_fract_x
_atom_site_fract_y
_atom_site_fract_z
Mg1 Mg 0.000 0.000 0.000
Mg2 Mg 0.413 0.641 0.364
Se1 Se 0.623 0.033 0.229
Se2 Se 0.897 0.407 0.443
I1 I 0.118 0.504 0.986
I2 I 0.420 0.941 0.700